1.
This record from the Alexandria database describes a geometry-optimized BaTaSb2 structure. The functional is PBE.

Cell lengths 3.566, 3.569, 8.374 Å; angles 90.00, 90.00, 90.00 degrees
Element x y z (fractional)
Sb  0.000  0.000  0.443
Sb  0.000  0.000  0.057
Ta  0.500  0.500  0.250
Ba  0.500  0.500  0.750

Calculated values
Excess energy over the best structure of this formula in the dataset in meV/atom: 55.6
M_tot in μB/f.u.: 0.00
SG: P4/mmm (123)
Formation energy without anion corrections in eV/atom: -0.23

=====

2.
This record from the Alexandria database describes a geometry-optimized BaTaSb2 structure. The functional is PBE.

Cell lengths 5.367, 5.367, 5.367 Å; angles 60.00, 60.00, 60.00 degrees
Site moments in Bohr magnetons follow the coordinates.
Element x y z (fractional)
Sb  0.750  0.750  0.750  -0.07
Sb  0.250  0.250  0.250  -0.07
Ba  0.000  0.000  0.000  0.07
Ta  0.500  0.500  0.500  1.18

Calculated values
Excess energy over the best structure of this formula in the dataset in meV/atom: 447.3
M_tot in μB/f.u.: 1.77
SG: Fm-3m (225)
Formation energy without anion corrections in eV/atom: 0.16

=====

3.
This record from the Alexandria database describes a geometry-optimized BaTaSb4 structure. The functional is PBE.

Cell lengths 6.321, 6.321, 6.321 Å; angles 60.00, 60.00, 60.00 degrees
Site moments in Bohr magnetons follow the coordinates.
Element x y z (fractional)
Sb  0.870  0.377  0.377  -0.03
Sb  0.377  0.377  0.377  -0.03
Sb  0.377  0.377  0.870  -0.03
Sb  0.377  0.870  0.377  -0.03
Ba  0.000  0.000  0.000  0.06
Ta  0.750  0.750  0.750  1.63

Calculated values
M_tot in μB/f.u.: 2.48
SG: F-43m (216)
Formation energy without anion corrections in eV/atom: 0.49

=====

4.
This record from the Alexandria database describes a geometry-optimized BaTaSb2 structure. The functional is PBE.

Cell lengths 4.206, 4.206, 8.304 Å; angles 75.35, 75.35, 60.01 degrees
Site moments in Bohr magnetons follow the coordinates.
Element x y z (fractional)
Sb  0.481  0.481  0.556  -0.01
Sb  0.019  0.019  0.944  -0.01
Ba  0.250  0.250  0.250  0.00
Ta  0.750  0.750  0.750  0.22

Calculated values
Excess energy over the best structure of this formula in the dataset in meV/atom: 0.0
M_tot in μB/f.u.: 0.30
SG: R-3m (166)
Formation energy without anion corrections in eV/atom: -0.28

=====

5.
This record from the Alexandria database describes a geometry-optimized Ba3TaSb structure. The functional is PBE.

Cell lengths 5.962, 5.962, 5.962 Å; angles 90.00, 90.00, 90.00 degrees
Element x y z (fractional)
Ba  0.000  0.500  0.000
Ba  0.500  0.000  0.000
Ba  0.000  0.000  0.500
Ta  0.000  0.000  0.000
Sb  0.500  0.500  0.500

Calculated values
Excess energy over the best structure of this formula in the dataset in meV/atom: 0.0
M_tot in μB/f.u.: 0.00
SG: Pm-3m (221)
Formation energy without anion corrections in eV/atom: 0.61

=====

6.
This record from the Alexandria database describes a geometry-optimized BaTaSb2 structure. The functional is PBE.

Cell lengths 3.315, 3.315, 10.614 Å; angles 90.00, 90.00, 99.15 degrees
Element x y z (fractional)
Sb  0.500  0.500  0.294
Sb  0.000  0.000  0.004
Ba  0.500  0.500  0.735
Ta  0.000  0.000  0.467

Calculated values
Excess energy over the best structure of this formula in the dataset in meV/atom: 658.9
M_tot in μB/f.u.: 0.00
SG: Cmm2 (35)
Formation energy without anion corrections in eV/atom: 0.37

=====

7.
This record from the Alexandria database describes a geometry-optimized BaTaSb2 structure. The functional is PBE.

Cell lengths 5.351, 5.351, 5.351 Å; angles 60.00, 60.00, 60.00 degrees
Site moments in Bohr magnetons follow the coordinates.
Element x y z (fractional)
Ba  0.500  0.500  0.500  0.03
Ta  0.750  0.750  0.750  0.44
Sb  0.250  0.250  0.250  -0.04
Sb  0.000  0.000  0.000  -0.03

Calculated values
Excess energy over the best structure of this formula in the dataset in meV/atom: 904.2
M_tot in μB/f.u.: 0.55
SG: F-43m (216)
Formation energy without anion corrections in eV/atom: 0.62

=====

8.
This record from the Alexandria database describes a geometry-optimized Ba2TaSb structure. The functional is PBE.

Cell lengths 11.763, 11.763, 11.763 Å; angles 17.55, 17.55, 17.55 degrees
Element x y z (fractional)
Ba  0.498  0.498  0.498
Ba  0.002  0.002  0.002
Ta  0.750  0.750  0.750
Sb  0.250  0.250  0.250

Calculated values
M_tot in μB/f.u.: 0.00
SG: R-3m (166)
Formation energy without anion corrections in eV/atom: 0.63

=====

9.
This record from the Alexandria database describes a geometry-optimized Ba4TaSb structure. The functional is PBE.

Cell lengths 7.043, 7.043, 7.043 Å; angles 60.00, 60.00, 60.00 degrees
Site moments in Bohr magnetons follow the coordinates.
Element x y z (fractional)
Ba  0.375  0.874  0.375  0.02
Ba  0.874  0.375  0.375  0.02
Ba  0.375  0.375  0.874  0.02
Ba  0.375  0.375  0.375  0.02
Ta  0.000  0.000  0.000  2.06
Sb  0.750  0.750  0.750  0.00

Calculated values
M_tot in μB/f.u.: 3.91
SG: F-43m (216)
Formation energy without anion corrections in eV/atom: 0.86

=====

10.
This record from the Alexandria database describes a geometry-optimized Ba2TaSb structure. The functional is PBE.

Cell lengths 4.494, 4.494, 10.103 Å; angles 85.33, 85.33, 43.62 degrees
Site moments in Bohr magnetons follow the coordinates.
Element x y z (fractional)
Ba  0.508  0.508  0.497  0.05
Ba  0.992  0.992  0.003  0.05
Sb  0.250  0.250  0.250  -0.03
Ta  0.750  0.750  0.750  0.96

Calculated values
M_tot in μB/f.u.: 1.63
SG: C2/m (12)
Formation energy without anion corrections in eV/atom: 0.66

=====

11.
This record from the Alexandria database describes a geometry-optimized BaTaSb2 structure. The functional is PBE.

Cell lengths 5.826, 5.826, 3.244 Å; angles 89.92, 89.92, 90.06 degrees
Site moments in Bohr magnetons follow the coordinates.
Element x y z (fractional)
Ta  0.500  0.000  0.500  0.56
Sb  0.500  0.500  0.000  -0.02
Sb  0.000  0.000  0.000  -0.02
Ba  0.000  0.500  0.500  0.03

Calculated values
Excess energy over the best structure of this formula in the dataset in meV/atom: 571.6
M_tot in μB/f.u.: 0.85
SG: C2/m (12)
Formation energy without anion corrections in eV/atom: 0.29

=====

12.
This record from the Alexandria database describes a geometry-optimized BaTa2Sb2 structure. The functional is PBE.

Cell lengths 5.372, 5.372, 6.084 Å; angles 63.80, 63.80, 90.00 degrees
Element x y z (fractional)
Ta  0.632  0.632  0.737
Ta  0.368  0.368  0.263
Sb  0.750  0.250  0.500
Sb  0.250  0.750  0.500
Ba  0.000  0.000  0.000

Calculated values
Excess energy over the best structure of this formula in the dataset in meV/atom: 0.0
M_tot in μB/f.u.: 0.00
SG: I4/mmm (139)
Formation energy without anion corrections in eV/atom: 0.06

=====

13.
This record from the Alexandria database describes a geometry-optimized BaTaSb2 structure. The functional is PBE.

Cell lengths 6.324, 6.324, 6.324 Å; angles 145.45, 115.71, 75.08 degrees
Site moments in Bohr magnetons follow the coordinates.
Element x y z (fractional)
Ta  0.750  0.250  0.500  0.48
Ba  0.250  0.750  0.500  0.03
Sb  0.954  0.954  0.000  0.00
Sb  0.546  0.546  0.000  0.00

Calculated values
Excess energy over the best structure of this formula in the dataset in meV/atom: 300.3
M_tot in μB/f.u.: 0.83
SG: Immm (71)
Formation energy without anion corrections in eV/atom: 0.02

=====

14.
This record from the Alexandria database describes a geometry-optimized Ba2TaSb structure. The functional is PBE.

Cell lengths 6.167, 6.167, 6.167 Å; angles 131.81, 131.81, 70.53 degrees
Element x y z (fractional)
Ba  0.250  0.750  0.500
Ba  0.000  0.000  0.000
Sb  0.500  0.500  0.000
Ta  0.750  0.250  0.500

Calculated values
M_tot in μB/f.u.: 0.00
SG: I-4m2 (119)
Formation energy without anion corrections in eV/atom: 0.54